# CeNd2Sn2 GGA-PBE relaxed
# - energy relative to the elements (eV/atom) = -0.567
# - Fermi-level density of states (states/eV per cell) = 10.2
# - symmetry = No. 71
data_CeNd2Sn2
_chemical_formula_sum 'Ce1 Nd2 Sn2'
_symmetry_space_group_name_H-M 'P 1'
_symmetry_Int_Tables_number 1
_symmetry_space_group_name_Hall 'P 1'
_cell_length_a 4.837
_cell_length_b 6.210
_cell_length_c 6.210
_cell_angle_alpha 70.25
_cell_angle_beta 67.08
_cell_angle_gamma 67.08
loop_
_atom_site_label
_atom_site_fract_x
_atom_site_fract_y
_atom_site_fract_z
Ce1 0.000 0.000 0.000
Nd1 0.201 0.299 0.299
Nd2 0.799 0.701 0.701
Sn1 0.500 0.290 0.710
Sn2 0.500 0.710 0.290